Entry 1:
! Cs2Rb2ZnAs2 (PBE-GGA, optimized geometry); values from VASP
! **Final energy**: -2.46 eV per atom
! **Space-group type**: No. 166
&SYSTEM
  ibrav = 0, nat = 7, ntyp = 4
/
ATOMIC_SPECIES
As 74.92 As.upf
Cs 132.91 Cs.upf
Rb 85.47 Rb.upf
Zn 65.41 Zn.upf
CELL_PARAMETERS angstrom
-5.762 -4.522 6.670
-3.682 -8.802 2.666
0.010 -6.765 7.237
ATOMIC_POSITIONS crystal
As 0.084 0.084 0.084
As 0.916 0.916 0.916
Cs 0.378 0.378 0.378
Cs 0.622 0.622 0.622
Rb 0.208 0.208 0.208
Rb 0.792 0.792 0.792
Zn 0.000 0.000 0.000

=====

Entry 2:
! ErSc2NiSn3Ir2 (PBE-GGA, optimized geometry); values from VASP
! **Final energy**: -6.61 eV per atom
! **Space-group type**: No. 38
&SYSTEM
  ibrav = 0, nat = 9, ntyp = 5
/
ATOMIC_SPECIES
Er 167.26 Er.upf
Ir 192.22 Ir.upf
Ni 58.69 Ni.upf
Sc 44.96 Sc.upf
Sn 118.71 Sn.upf
CELL_PARAMETERS angstrom
-0.264 -0.056 3.436
-0.607 -7.576 -0.171
6.829 3.291 0.578
ATOMIC_POSITIONS crystal
Er 0.000 0.400 0.400
Ir 0.500 0.672 0.332
Ir 0.500 0.332 0.672
Ni 0.000 0.000 0.000
Sc 0.000 0.999 0.599
Sc 0.000 0.599 0.999
Sn 0.500 0.995 0.264
Sn 0.500 0.739 0.739
Sn 0.500 0.264 0.995

=====

Entry 3:
! Sb3Mo4W2C3 (PBE-GGA, optimized geometry); values from VASP
! **Final energy**: -8.95 eV per atom
! **Space-group type**: No. 15
&SYSTEM
  ibrav = 0, nat = 24, ntyp = 4
/
ATOMIC_SPECIES
C 12.01 C.upf
Mo 95.94 Mo.upf
Sb 121.76 Sb.upf
W 183.84 W.upf
CELL_PARAMETERS angstrom
-2.668 -2.060 4.540
-0.161 -5.582 0.889
12.039 3.290 5.091
ATOMIC_POSITIONS crystal
C 0.500 0.000 0.000
C 0.821 0.337 0.000
C 0.179 0.663 0.000
C 0.337 0.821 0.500
C 0.000 0.500 0.500
C 0.663 0.179 0.500
Mo 0.179 0.048 0.083
Mo 0.883 0.689 0.084
Mo 0.311 0.117 0.416
Mo 0.952 0.821 0.417
Mo 0.048 0.179 0.583
Mo 0.689 0.883 0.584
Mo 0.117 0.311 0.916
Mo 0.821 0.952 0.917
Sb 0.251 0.417 0.249
Sb 0.914 0.086 0.250
Sb 0.583 0.749 0.251
Sb 0.417 0.251 0.749
Sb 0.086 0.914 0.750
Sb 0.749 0.583 0.751
W 0.521 0.346 0.077
W 0.654 0.479 0.423
W 0.346 0.521 0.577
W 0.479 0.654 0.923

=====

Entry 4:
! RbMoAuSe3 (PBE-GGA, optimized geometry); values from VASP
! **Final energy**: -4.61 eV per atom
! **Space-group type**: No. 63
&SYSTEM
  ibrav = 0, nat = 12, ntyp = 4
/
ATOMIC_SPECIES
Au 196.97 Au.upf
Mo 95.94 Mo.upf
Rb 85.47 Rb.upf
Se 78.96 Se.upf
CELL_PARAMETERS angstrom
-2.978 -3.172 -6.762
0.017 -5.493 -5.872
-6.245 -5.935 5.534
ATOMIC_POSITIONS crystal
Au 0.552 0.552 0.250
Au 0.448 0.448 0.750
Mo 0.000 0.000 0.000
Mo 0.000 0.000 0.500
Rb 0.245 0.245 0.250
Rb 0.755 0.755 0.750
Se 0.614 0.614 0.024
Se 0.934 0.934 0.250
Se 0.614 0.614 0.476
Se 0.386 0.386 0.524
Se 0.066 0.066 0.750
Se 0.386 0.386 0.976

=====

Entry 5:
! DyY2Zn3Ir2Pt (PBE-GGA, optimized geometry); values from VASP
! **Formation enthalpy at 0 K**: -0.783 eV per atom
! **Space-group type**: No. 38
&SYSTEM
  ibrav = 0, nat = 9, ntyp = 5
/
ATOMIC_SPECIES
Dy 162.50 Dy.upf
Ir 192.22 Ir.upf
Pt 195.08 Pt.upf
Y 88.91 Y.upf
Zn 65.41 Zn.upf
CELL_PARAMETERS angstrom
3.897 0.000 0.000
0.000 6.218 3.601
0.000 -6.218 3.601
ATOMIC_POSITIONS crystal
Dy 0.000 0.592 0.592
Ir 0.500 0.666 0.336
Ir 0.500 0.336 0.666
Pt 0.000 0.998 0.998
Y 0.000 0.408 0.000
Y 0.000 0.000 0.408
Zn 0.500 0.746 0.001
Zn 0.500 0.252 0.252
Zn 0.500 0.001 0.746

=====

Entry 6:
! TaRe (PBE-GGA, optimized geometry); values from VASP
! **Formation enthalpy at 0 K**: -0.077 eV per atom
! **Space-group type**: No. 194
&SYSTEM
  ibrav = 0, nat = 12, ntyp = 2
/
ATOMIC_SPECIES
Re 186.21 Re.upf
Ta 180.95 Ta.upf
CELL_PARAMETERS angstrom
5.277 0.000 0.000
-2.638 4.570 0.000
0.000 0.000 8.503
ATOMIC_POSITIONS crystal
Re 0.347 0.174 0.250
Re 0.826 0.174 0.250
Re 0.826 0.653 0.250
Re 0.174 0.347 0.750
Re 0.174 0.826 0.750
Re 0.653 0.826 0.750
Ta 0.000 0.000 0.000
Ta 0.333 0.667 0.057
Ta 0.333 0.667 0.443
Ta 0.000 0.000 0.500
Ta 0.667 0.333 0.557
Ta 0.667 0.333 0.943

=====

Entry 7:
! LiCu3Te4Pb (PBE-GGA, optimized geometry); values from VASP
! **Final energy**: -3.27 eV per atom
! **Space-group type**: No. 215
&SYSTEM
  ibrav = 0, nat = 9, ntyp = 4
/
ATOMIC_SPECIES
Cu 63.55 Cu.upf
Li 6.94 Li.upf
Pb 207.20 Pb.upf
Te 127.60 Te.upf
CELL_PARAMETERS angstrom
6.274 0.000 0.000
0.000 6.274 0.000
0.000 0.000 6.274
ATOMIC_POSITIONS crystal
Cu 0.500 0.500 0.000
Cu 0.500 0.000 0.500
Cu 0.000 0.500 0.500
Li 0.000 0.000 0.000
Pb 0.500 0.500 0.500
Te 0.234 0.234 0.234
Te 0.766 0.766 0.234
Te 0.766 0.234 0.766
Te 0.234 0.766 0.766

=====

Entry 8:
! Tl4Sb2Mo (PBE-GGA, optimized geometry); values from VASP
! **Final energy**: -3.71 eV per atom
! **Space-group type**: No. 111
&SYSTEM
  ibrav = 0, nat = 7, ntyp = 3
/
ATOMIC_SPECIES
Mo 95.94 Mo.upf
Sb 121.76 Sb.upf
Tl 204.38 Tl.upf
CELL_PARAMETERS angstrom
5.446 0.000 0.000
0.000 5.446 0.000
0.000 0.000 6.743
ATOMIC_POSITIONS crystal
Mo 0.000 0.000 0.000
Sb 0.500 0.000 0.000
Sb 0.000 0.500 0.000
Tl 0.248 0.248 0.372
Tl 0.752 0.752 0.372
Tl 0.752 0.248 0.628
Tl 0.248 0.752 0.628

=====

Entry 9:
! LiTaAuSe3 (PBE-GGA, optimized geometry); values from VASP
! **Final energy**: -5.07 eV per atom
! **Space-group type**: No. 63
&SYSTEM
  ibrav = 0, nat = 12, ntyp = 4
/
ATOMIC_SPECIES
Au 196.97 Au.upf
Li 6.94 Li.upf
Se 78.96 Se.upf
Ta 180.95 Ta.upf
CELL_PARAMETERS angstrom
-0.970 0.715 -6.858
-4.265 0.356 -5.492
-0.621 10.012 1.132
ATOMIC_POSITIONS crystal
Au 0.559 0.559 0.250
Au 0.441 0.441 0.750
Li 0.229 0.229 0.250
Li 0.771 0.771 0.750
Se 0.642 0.642 0.029
Se 0.903 0.903 0.250
Se 0.642 0.642 0.471
Se 0.358 0.358 0.529
Se 0.097 0.097 0.750
Se 0.358 0.358 0.971
Ta 0.000 0.000 0.000
Ta 0.000 0.000 0.500

=====

Entry 10:
! Lu2GaPt (PBE-GGA, optimized geometry); values from VASP
! **Final energy**: -5.04 eV per atom
! **Space-group type**: No. 216
&SYSTEM
  ibrav = 0, nat = 4, ntyp = 3
/
ATOMIC_SPECIES
Ga 69.72 Ga.upf
Lu 174.97 Lu.upf
Pt 195.08 Pt.upf
CELL_PARAMETERS angstrom
0.000 3.406 3.406
3.406 0.000 3.406
3.406 3.406 0.000
ATOMIC_POSITIONS crystal
Ga 0.500 0.500 0.500
Lu 0.000 0.000 0.000
Lu 0.750 0.750 0.750
Pt 0.250 0.250 0.250

=====

Entry 11:
! GdTm2Mg3Al2Zn (PBE-GGA, optimized geometry); values from VASP
! **Final energy**: -3.31 eV per atom
! **Space-group type**: No. 38
&SYSTEM
  ibrav = 0, nat = 9, ntyp = 5
/
ATOMIC_SPECIES
Al 26.98 Al.upf
Gd 157.25 Gd.upf
Mg 24.30 Mg.upf
Tm 168.93 Tm.upf
Zn 65.41 Zn.upf
CELL_PARAMETERS angstrom
-3.183 -0.747 -3.020
3.047 -6.486 -1.607
-5.107 0.530 5.251
ATOMIC_POSITIONS crystal
Al 0.500 0.667 0.330
Al 0.500 0.330 0.667
Gd 0.000 0.578 0.578
Mg 0.500 0.759 0.001
Mg 0.500 0.242 0.242
Mg 0.500 0.001 0.759
Tm 0.000 0.999 0.420
Tm 0.000 0.420 0.999
Zn 0.000 0.005 0.005

=====

Entry 12:
! SmTl (PBE-GGA, optimized geometry); values from VASP
! **Final energy**: -3.92 eV per atom
! **Space-group type**: No. 221
&SYSTEM
  ibrav = 0, nat = 2, ntyp = 2
/
ATOMIC_SPECIES
Sm 150.36 Sm.upf
Tl 204.38 Tl.upf
CELL_PARAMETERS angstrom
3.839 0.000 0.000
0.000 3.839 0.000
0.000 0.000 3.839
ATOMIC_POSITIONS crystal
Sm 0.000 0.000 0.000
Tl 0.500 0.500 0.500